#1
# VSeOF2 | the Alexandria database | PBE with a Hubbard U | relaxed
data_VSeOF2
_chemical_formula_sum 'V1 Se1 O1 F2'
_cell_length_a 4.601
_cell_length_b 4.601
_cell_length_c 3.807
_cell_angle_alpha 90.00
_cell_angle_beta 90.00
_cell_angle_gamma 90.00
_space_group_name_H-M_alt 'P 4/m m m'
_space_group_IT_number 123
_space_group_name_Hall '-P 4 2'
loop_
_atom_site_label
_atom_site_type_symbol
_atom_site_fract_x
_atom_site_fract_y
_atom_site_fract_z
V1 V 0.000 0.000 0.000
Se1 Se 0.500 0.500 0.500
O1 O 0.500 0.500 0.000
F1 F 0.000 0.500 0.500
# DOS at the Fermi energy in states/eV per cell: 3.59
# Density in g cm⁻³: 3.79
# Magnetic moment in μB per cell: 1.51
# V in Å³/cell: 81

---

#2
# VSeOF2 | the Alexandria database | PBE with a Hubbard U | relaxed
data_VSeOF2
_chemical_formula_sum 'V1 Se1 O1 F2'
_cell_length_a 4.197
_cell_length_b 4.197
_cell_length_c 3.811
_cell_angle_alpha 90.00
_cell_angle_beta 90.00
_cell_angle_gamma 90.00
_space_group_name_H-M_alt 'P 4/m m m'
_space_group_IT_number 123
_space_group_name_Hall '-P 4 2'
loop_
_atom_site_label
_atom_site_type_symbol
_atom_site_fract_x
_atom_site_fract_y
_atom_site_fract_z
V1 V 0.000 0.000 0.000
Se1 Se 0.500 0.500 0.500
O1 O 0.000 0.000 0.500
F1 F 0.000 0.500 0.000
# DOS at the Fermi energy in states/eV per cell: 2.70
# Density in g cm⁻³: 4.55
# Magnetic moment in μB per cell: 2.00
# V in Å³/cell: 67

---

#2 is favored, and the nearest alternative lies 95.3 kJ/mol of atoms above it.